Entry 1:
Ac2CeHoS4 | GGA-PBE | relaxed

## Properties
**Space-group type**: P2/m (10)
**Fermi-level density of states**: 7.757 states/eV/f.u.
**ΔE_f (raw)**: -1988 meV/atom

Unit cell a=7.1226 b=4.0858 c=7.2506 alpha=90.00 beta=108.91 gamma=90.00
Element x y z (fractional)
Ac 0.0000 0.0000 0.0000
Ac 0.5000 0.5000 0.0000
Ce 0.0000 0.5000 0.5000
Ho 0.5000 0.0000 0.5000
S 0.2487 0.0000 0.7261
S 0.2660 0.5000 0.2783
S 0.7340 0.5000 0.7217
S 0.7513 0.0000 0.2739

***

Entry 2:
Ac2CeHoS6 | GGA-PBE | relaxed

## Properties
**Space-group type**: R3 (146)
**Fermi-level density of states**: 4.532 states/eV/f.u.
**ΔE_f (raw)**: -2066 meV/atom

Unit cell a=7.5683 b=7.5683 c=7.5683 alpha=57.96 beta=57.96 gamma=57.96
Element x y z (fractional)
Ac 0.0000 0.0000 0.0000
Ac 0.4988 0.4988 0.4988
Ce 0.2133 0.2133 0.2133
Ho 0.7114 0.7114 0.7114
S 0.0716 0.4299 0.8397
S 0.3463 0.9168 0.5840
S 0.4299 0.8397 0.0716
S 0.5840 0.3463 0.9168
S 0.8397 0.0716 0.4299
S 0.9168 0.5840 0.3463

***

Entry 3:
Ac2CeHoSb4 | GGA-PBE | relaxed

## Properties
**Space-group type**: P2/m (10)
**Fermi-level density of states**: 6.642 states/eV/f.u.
**ΔE_f (raw)**: -1129 meV/atom

Unit cell a=7.9905 b=4.6215 c=8.0063 alpha=90.00 beta=109.46 gamma=90.00
Element x y z (fractional)
Ac 0.0000 0.0000 0.0000
Ac 0.5000 0.5000 0.0000
Ce 0.0000 0.5000 0.5000
Ho 0.5000 0.0000 0.5000
Sb 0.2462 0.0000 0.7293
Sb 0.2603 0.5000 0.2726
Sb 0.7397 0.5000 0.7274
Sb 0.7538 0.0000 0.2707

***

Entry 4:
AcCe2HoSb4 | GGA-PBE | relaxed

## Properties
**Space-group type**: P2/m (10)
**Fermi-level density of states**: 12.775 states/eV/f.u.
**ΔE_f (raw)**: -1074 meV/atom

Unit cell a=7.8771 b=4.5512 c=7.8860 alpha=90.00 beta=109.45 gamma=90.00
Element x y z (fractional)
Ac 0.0000 0.0000 0.0000
Ce 0.5000 0.0000 0.5000
Ce 0.5000 0.5000 0.0000
Ho 0.0000 0.5000 0.5000
Sb 0.2505 0.0000 0.7383
Sb 0.2597 0.5000 0.2656
Sb 0.7403 0.5000 0.7344
Sb 0.7495 0.0000 0.2617

***

Entry 5:
Ac4CeHo3Se8 | GGA-PBE | relaxed

## Properties
**Space-group type**: R-3m (166)
**Fermi-level density of states**: 11.932 states/eV/f.u.
**ΔE_f (raw)**: -1795 meV/atom

Unit cell a=8.7269 b=8.7269 c=8.7269 alpha=57.55 beta=57.55 gamma=57.55
Element x y z (fractional)
Ac 0.0000 0.0000 0.0000
Ac 0.0000 0.5000 0.5000
Ac 0.5000 0.0000 0.5000
Ac 0.5000 0.5000 0.0000
Ce 0.5000 0.5000 0.5000
Ho 0.0000 0.0000 0.5000
Ho 0.0000 0.5000 0.0000
Ho 0.5000 0.0000 0.0000
Se 0.2343 0.7438 0.7438
Se 0.2393 0.2393 0.2393
Se 0.2562 0.2562 0.7657
Se 0.2562 0.7657 0.2562
Se 0.7438 0.2343 0.7438
Se 0.7438 0.7437 0.2343
Se 0.7607 0.7607 0.7607
Se 0.7657 0.2562 0.2562

***

Entry 6:
AcCe2HoSe4 | GGA-PBE | relaxed

## Properties
**Space-group type**: P2/m (10)
**Fermi-level density of states**: 13.435 states/eV/f.u.
**ΔE_f (raw)**: -1779 meV/atom

Unit cell a=7.3582 b=4.2108 c=7.3803 alpha=90.00 beta=109.04 gamma=90.00
Element x y z (fractional)
Ac 0.0000 0.0000 0.0000
Ce 0.5000 0.0000 0.5000
Ce 0.5000 0.5000 0.0000
Ho 0.0000 0.5000 0.5000
Se 0.2447 0.0000 0.7336
Se 0.2555 0.5000 0.2673
Se 0.7445 0.5000 0.7327
Se 0.7553 0.0000 0.2664